Sb2AsP after structural relaxation, computed with PBEsol.

Output
- excess energy over the best structure of this formula in the dataset (eV per formula unit) = 0.17
- E_tot (eV/atom) = -4.924
- total moment (μB/f.u.) = 0.000
- V (A^3/atom) = 24.32
- crystal system = monoclinic
- formation energy without anion corrections (eV per atom) = 0.0788

Unit cell a=3.971 b=4.329 c=5.997 alpha=89.69 beta=109.34 gamma=90.00
Fractional coordinates of all 4 atoms:
As1 0.488 0.329 0.975
Sb1 0.992 0.908 0.983
P1 0.768 0.829 0.535
Sb2 0.253 0.434 0.506

=====

Sb2AsP after structural relaxation, computed with PBEsol.

Output
- excess energy over the best structure of this formula in the dataset (eV per formula unit) = 0.00
- E_tot (eV/atom) = -4.967
- total moment (μB/f.u.) = 0.000
- V (A^3/atom) = 23.87
- crystal system = monoclinic
- formation energy without anion corrections (eV per atom) = 0.0358

Unit cell a=3.997 b=4.148 c=5.769 alpha=93.15 beta=90.00 gamma=90.00
Fractional coordinates of all 4 atoms:
As1 0.000 0.026 0.360
P1 0.500 0.538 0.855
Sb1 0.500 0.475 0.399
Sb2 0.000 0.961 0.886

=====

SbAs2P after structural relaxation, computed with PBEsol.

Output
- excess energy over the best structure of this formula in the dataset (eV per formula unit) = 0.09
- E_tot (eV/atom) = -5.071
- total moment (μB/f.u.) = 0.000
- V (A^3/atom) = 21.49
- crystal system = tetragonal
- formation energy without anion corrections (eV per atom) = 0.0693

Unit cell a=3.897 b=3.897 c=5.661 alpha=90.00 beta=90.00 gamma=90.00
Fractional coordinates of all 4 atoms:
Sb1 0.500 0.500 0.644
As1 0.000 0.000 0.163
As2 0.500 0.500 0.113
P1 0.000 0.000 0.580